# 1
Density functional theory data (GGA-PBE) for a geometry-optimized LiYHg2 structure.

Cell lengths 5.1492, 5.1492, 3.5293 Å; angles 90.00, 90.00, 90.00 degrees
Element x y z (fractional)
Li 0.0000 0.0000 0.0000
Y 0.5000 0.5000 0.0000
Hg 0.0000 0.5000 0.5000
Hg 0.5000 0.0000 0.5000

Computed properties:
Calculated volume ... 23.394 A^3/atom
Space group ... No. 123
Density ... 8.8 g cm⁻³
Offset from the most stable computed form ... 50 meV/atom

# 2
Density functional theory data (GGA-PBE) for a geometry-optimized Li2YHg structure.

Cell lengths 6.9811, 6.9811, 6.9811 Å; angles 90.00, 90.00, 90.00 degrees
Element x y z (fractional)
Li 0.0000 0.0000 0.0000
Li 0.0000 0.5000 0.5000
Li 0.2500 0.2500 0.2500
Li 0.2500 0.7500 0.7500
Li 0.5000 0.0000 0.5000
Li 0.5000 0.5000 0.0000
Li 0.7500 0.2500 0.7500
Li 0.7500 0.7500 0.2500
Y 0.0000 0.0000 0.5000
Y 0.0000 0.5000 0.0000
Y 0.5000 0.0000 0.0000
Y 0.5000 0.5000 0.5000
Hg 0.2500 0.2500 0.7500
Hg 0.2500 0.7500 0.2500
Hg 0.7500 0.2500 0.2500
Hg 0.7500 0.7500 0.7500

Computed properties:
Calculated volume ... 21.264 A^3/atom
Space group ... No. 216
Density ... 5.9 g cm⁻³
Offset from the most stable computed form ... 0 meV/atom

> Look up the density of the first one.

8.8 g cm⁻³